Entry 1:
A relaxed structure of Tl8SnAu2. Source: Alexandria, functional PBE.

Output
**Total energy**: -2.6201 eV per atom
**Symmetry**: C2/m
**DOS at the Fermi energy**: 4.037 states/eV/cell

Cell lengths 8.418, 8.418, 5.903 Å; angles 109.91, 109.91, 64.85 degrees
Element x y z (fractional)
1 Tl 0.076 0.680 0.030
2 Tl 0.094 0.094 0.410
3 Tl 0.320 0.924 0.970
4 Tl 0.353 0.353 0.437
5 Tl 0.647 0.647 0.563
6 Tl 0.680 0.076 0.030
7 Tl 0.906 0.906 0.590
8 Tl 0.924 0.320 0.970
9 Sn 0.500 0.500 0.000
10 Au 0.276 0.276 0.874
11 Au 0.724 0.724 0.126

***

Entry 2:
A relaxed structure of Tl5Sn12Au3. Source: Alexandria, functional PBE.

Output
**Total energy**: -3.3423 eV per atom
**Symmetry**: Ia-3d
**DOS at the Fermi energy**: 44.755 states/eV/cell

Cell lengths 15.021, 15.021, 15.021 Å; angles 109.47, 109.47, 109.47 degrees
Element x y z (fractional)
1 Tl 0.000 0.000 0.000
2 Tl 0.000 0.000 0.500
3 Tl 0.000 0.500 0.000
4 Tl 0.000 0.500 0.500
5 Tl 0.125 0.750 0.875
6 Tl 0.125 0.875 0.250
7 Tl 0.250 0.125 0.875
8 Tl 0.250 0.625 0.375
9 Tl 0.375 0.250 0.625
10 Tl 0.375 0.625 0.750
11 Tl 0.500 0.000 0.000
12 Tl 0.500 0.000 0.500
13 Tl 0.500 0.500 0.000
14 Tl 0.500 0.500 0.500
15 Tl 0.625 0.375 0.250
16 Tl 0.625 0.750 0.375
17 Tl 0.750 0.375 0.625
18 Tl 0.750 0.875 0.125
19 Tl 0.875 0.125 0.750
20 Tl 0.875 0.250 0.125
21 Sn 0.057 0.634 0.394
22 Sn 0.057 0.923 0.663
23 Sn 0.077 0.241 0.134
24 Sn 0.077 0.337 0.943
25 Sn 0.106 0.741 0.663
26 Sn 0.106 0.866 0.443
27 Sn 0.134 0.077 0.241
28 Sn 0.134 0.557 0.894
29 Sn 0.163 0.241 0.606
30 Sn 0.163 0.423 0.557
31 Sn 0.241 0.134 0.077
32 Sn 0.241 0.606 0.163
33 Sn 0.259 0.337 0.894
34 Sn 0.259 0.423 0.366
35 Sn 0.337 0.894 0.259
36 Sn 0.337 0.943 0.077
37 Sn 0.366 0.259 0.423
38 Sn 0.366 0.606 0.943
39 Sn 0.394 0.057 0.634
40 Sn 0.394 0.837 0.759
41 Sn 0.423 0.366 0.259
42 Sn 0.423 0.557 0.163
43 Sn 0.443 0.106 0.866
44 Sn 0.443 0.837 0.577
45 Sn 0.557 0.163 0.423
46 Sn 0.557 0.894 0.134
47 Sn 0.577 0.443 0.837
48 Sn 0.577 0.634 0.741
49 Sn 0.606 0.163 0.241
50 Sn 0.606 0.943 0.366
51 Sn 0.634 0.394 0.057
52 Sn 0.634 0.741 0.577
53 Sn 0.663 0.057 0.923
54 Sn 0.663 0.106 0.741
55 Sn 0.741 0.577 0.634
56 Sn 0.741 0.663 0.106
57 Sn 0.759 0.394 0.837
58 Sn 0.759 0.866 0.923
59 Sn 0.837 0.577 0.443
60 Sn 0.837 0.759 0.394
61 Sn 0.866 0.443 0.106
62 Sn 0.866 0.923 0.759
63 Sn 0.894 0.134 0.557
64 Sn 0.894 0.259 0.337
65 Sn 0.923 0.663 0.057
66 Sn 0.923 0.759 0.866
67 Sn 0.943 0.077 0.337
68 Sn 0.943 0.366 0.606
69 Au 0.125 0.250 0.375
70 Au 0.125 0.375 0.750
71 Au 0.250 0.375 0.125
72 Au 0.250 0.875 0.625
73 Au 0.375 0.125 0.250
74 Au 0.375 0.750 0.125
75 Au 0.625 0.250 0.875
76 Au 0.625 0.875 0.750
77 Au 0.750 0.125 0.375
78 Au 0.750 0.625 0.875
79 Au 0.875 0.625 0.250
80 Au 0.875 0.750 0.625

***

Entry 3:
A relaxed structure of Tl4SnAu. Source: Alexandria, functional PBE.

Output
**Total energy**: -2.7887 eV per atom
**Symmetry**: P4/mmm
**DOS at the Fermi energy**: 2.652 states/eV/cell

Cell lengths 3.473, 3.473, 14.084 Å; angles 90.00, 90.00, 90.00 degrees
Element x y z (fractional)
1 Tl 0.000 0.000 0.135
2 Tl 0.000 0.000 0.865
3 Tl 0.500 0.500 0.325
4 Tl 0.500 0.500 0.675
5 Sn 0.000 0.000 0.500
6 Au 0.500 0.500 0.000

***

Entry 4:
A relaxed structure of Tl6SnAu8. Source: Alexandria, functional PBE.

Output
**Total energy**: -2.9752 eV per atom
**Symmetry**: R-3
**DOS at the Fermi energy**: 5.622 states/eV/cell

Cell lengths 7.459, 7.459, 7.459 Å; angles 71.48, 71.48, 71.48 degrees
Element x y z (fractional)
1 Tl 0.170 0.422 0.636
2 Tl 0.364 0.830 0.578
3 Tl 0.422 0.636 0.170
4 Tl 0.578 0.364 0.830
5 Tl 0.636 0.170 0.422
6 Tl 0.830 0.578 0.364
7 Sn 0.000 0.000 0.000
8 Au 0.022 0.848 0.408
9 Au 0.152 0.592 0.978
10 Au 0.190 0.190 0.190
11 Au 0.408 0.022 0.848
12 Au 0.592 0.978 0.152
13 Au 0.810 0.810 0.810
14 Au 0.848 0.408 0.022
15 Au 0.978 0.152 0.592

***

Entry 5:
A relaxed structure of Tl2SnAu2. Source: Alexandria, functional PBE.

Output
**Total energy**: -2.9322 eV per atom
**Symmetry**: I4/mmm
**DOS at the Fermi energy**: 2.844 states/eV/cell
**Energy relative to the lowest polymorph listed for this composition**: 205 meV/atom

Cell lengths 7.433, 7.433, 7.433 Å; angles 145.73, 145.73, 49.24 degrees
Element x y z (fractional)
1 Tl 0.250 0.750 0.500
2 Tl 0.750 0.250 0.500
3 Sn 0.000 0.000 0.000
4 Au 0.401 0.401 0.000
5 Au 0.599 0.599 0.000

***

Entry 6:
A relaxed structure of Tl5Sn2Au4. Source: Alexandria, functional PBE.

Output
**Total energy**: -3.0408 eV per atom
**Symmetry**: P-1
**DOS at the Fermi energy**: 5.438 states/eV/cell
**Energy relative to the lowest polymorph listed for this composition**: 0 meV/atom

Cell lengths 4.304, 8.726, 8.921 Å; angles 67.23, 76.95, 76.01 degrees
Element x y z (fractional)
1 Tl 0.000 0.000 0.000
2 Tl 0.257 0.819 0.670
3 Tl 0.356 0.334 0.961
4 Tl 0.644 0.666 0.039
5 Tl 0.743 0.181 0.330
6 Sn 0.056 0.281 0.607
7 Sn 0.944 0.719 0.393
8 Au 0.140 0.461 0.262
9 Au 0.395 0.937 0.272
10 Au 0.605 0.063 0.728
11 Au 0.860 0.539 0.738

***

Entry 7:
A relaxed structure of Tl2Sn3Au4. Source: Alexandria, functional PBE.

Output
**Total energy**: -3.4342 eV per atom
**Symmetry**: Cmce
**DOS at the Fermi energy**: 4.447 states/eV/cell

Cell lengths 9.368, 9.368, 7.241 Å; angles 90.00, 90.00, 136.25 degrees
Element x y z (fractional)
1 Tl 0.090 0.910 0.906
2 Tl 0.410 0.590 0.406
3 Tl 0.590 0.410 0.594
4 Tl 0.910 0.090 0.094
5 Sn 0.000 0.000 0.500
6 Sn 0.007 0.493 0.750
7 Sn 0.493 0.007 0.250
8 Sn 0.500 0.500 0.000
9 Sn 0.507 0.993 0.750
10 Sn 0.993 0.507 0.250
11 Au 0.170 0.830 0.517
12 Au 0.173 0.327 0.750
13 Au 0.327 0.173 0.250
14 Au 0.330 0.670 0.017
15 Au 0.670 0.330 0.983
16 Au 0.673 0.827 0.750
17 Au 0.827 0.673 0.250
18 Au 0.830 0.170 0.483

***

Entry 8:
A relaxed structure of Tl2SnAu7. Source: Alexandria, functional PBE.

Output
**Total energy**: -3.1810 eV per atom
**Symmetry**: P-4m2
**DOS at the Fermi energy**: 2.812 states/eV/cell

Cell lengths 4.030, 4.030, 13.862 Å; angles 90.00, 90.00, 90.00 degrees
Element x y z (fractional)
1 Tl 0.000 0.500 0.244
2 Tl 0.500 0.000 0.756
3 Sn 0.000 0.000 0.500
4 Au 0.000 0.000 0.000
5 Au 0.000 0.500 0.653
6 Au 0.000 0.500 0.852
7 Au 0.500 0.000 0.148
8 Au 0.500 0.000 0.347
9 Au 0.500 0.500 0.000
10 Au 0.500 0.500 0.500

***

Entry 9:
A relaxed structure of TlSn4Au2. Source: Alexandria, functional PBE.

Output
**Total energy**: -3.6808 eV per atom
**Symmetry**: Pnma
**DOS at the Fermi energy**: 10.426 states/eV/cell

Cell lengths 19.978, 4.652, 7.722 Å; angles 90.00, 90.00, 90.00 degrees
Element x y z (fractional)
1 Tl 0.141 0.250 0.038
2 Tl 0.359 0.750 0.538
3 Tl 0.641 0.250 0.462
4 Tl 0.859 0.750 0.962
5 Sn 0.035 0.750 0.863
6 Sn 0.067 0.250 0.485
7 Sn 0.185 0.750 0.318
8 Sn 0.189 0.750 0.747
9 Sn 0.311 0.250 0.247
10 Sn 0.315 0.250 0.818
11 Sn 0.433 0.750 0.985
12 Sn 0.465 0.250 0.363
13 Sn 0.535 0.750 0.637
14 Sn 0.567 0.250 0.015
15 Sn 0.685 0.750 0.182
16 Sn 0.689 0.750 0.753
17 Sn 0.811 0.250 0.253
18 Sn 0.815 0.250 0.682
19 Sn 0.933 0.750 0.515
20 Sn 0.965 0.250 0.137
21 Au 0.039 0.750 0.252
22 Au 0.213 0.250 0.536
23 Au 0.287 0.750 0.036
24 Au 0.461 0.250 0.752
25 Au 0.539 0.750 0.248
26 Au 0.713 0.250 0.964
27 Au 0.787 0.750 0.464
28 Au 0.961 0.250 0.748

***

Entry 10:
A relaxed structure of TlSn2Au. Source: Alexandria, functional PBE.

Output
**Total energy**: -3.4952 eV per atom
**Symmetry**: Cmmm
**DOS at the Fermi energy**: 2.038 states/eV/cell
**Energy relative to the lowest polymorph listed for this composition**: 20 meV/atom

Cell lengths 5.101, 5.101, 4.580 Å; angles 90.00, 90.00, 108.34 degrees
Element x y z (fractional)
1 Tl 0.000 0.000 0.000
2 Sn 0.306 0.694 0.500
3 Sn 0.694 0.306 0.500
4 Au 0.500 0.500 0.000

***

Entry 11:
A relaxed structure of Tl2Sn2Au5. Source: Alexandria, functional PBE.

Output
**Total energy**: -3.2107 eV per atom
**Symmetry**: Cmce
**DOS at the Fermi energy**: 7.740 states/eV/cell

Cell lengths 8.260, 8.260, 8.414 Å; angles 90.00, 90.00, 51.18 degrees
Element x y z (fractional)
1 Tl 0.203 0.203 0.000
2 Tl 0.297 0.297 0.500
3 Tl 0.703 0.703 0.500
4 Tl 0.797 0.797 0.000
5 Sn 0.158 0.842 0.679
6 Sn 0.342 0.658 0.179
7 Sn 0.658 0.342 0.821
8 Sn 0.842 0.158 0.321
9 Au 0.000 0.000 0.000
10 Au 0.029 0.728 0.383
11 Au 0.228 0.529 0.883
12 Au 0.272 0.971 0.383
13 Au 0.471 0.772 0.883
14 Au 0.500 0.500 0.500
15 Au 0.529 0.228 0.117
16 Au 0.728 0.029 0.617
17 Au 0.772 0.471 0.117
18 Au 0.971 0.272 0.617

***

Entry 12:
A relaxed structure of Tl3SnAu3. Source: Alexandria, functional PBE.

Output
**Total energy**: -3.0215 eV per atom
**Symmetry**: C2/m
**DOS at the Fermi energy**: 5.673 states/eV/cell
**Energy relative to the lowest polymorph listed for this composition**: 0 meV/atom

Cell lengths 7.773, 7.773, 7.396 Å; angles 96.77, 96.77, 119.77 degrees
Element x y z (fractional)
1 Tl 0.197 0.803 0.000
2 Tl 0.269 0.731 0.500
3 Tl 0.372 0.372 0.145
4 Tl 0.628 0.628 0.855
5 Tl 0.731 0.269 0.500
6 Tl 0.803 0.197 0.000
7 Sn 0.216 0.216 0.530
8 Sn 0.784 0.784 0.470
9 Au 0.022 0.022 0.814
10 Au 0.124 0.443 0.773
11 Au 0.443 0.124 0.773
12 Au 0.557 0.876 0.227
13 Au 0.876 0.557 0.227
14 Au 0.978 0.978 0.186